1.
Be4Pd3Au after structural relaxation. Source: Alexandria via LeMat-Bulk, functional PBE.

Size of the total moment: 0.00 μB/cell
E: -4.68 eV/atom
Energy of formation: -464 meV per atom

```
data_Be4Pd3Au
_chemical_formula_sum 'Be4 Pd3 Au1'
_symmetry_space_group_name_H-M 'P 4/m m m'
_symmetry_Int_Tables_number 123
_symmetry_space_group_name_Hall '-P 4 2'
_cell_length_a 2.864
_cell_length_b 2.864
_cell_length_c 11.520
_cell_angle_alpha 90.00
_cell_angle_beta 90.00
_cell_angle_gamma 90.00
loop_
_atom_site_label
_atom_site_type_symbol
_atom_site_fract_x
_atom_site_fract_y
_atom_site_fract_z
_atom_site_occupancy
Be1 Be 0.000 0.000 0.122 1
Be2 Be 0.000 0.000 0.361 1
Pd1 Pd 0.500 0.500 0.000 1
Pd2 Pd 0.500 0.500 0.245 1
Au1 Au 0.500 0.500 0.500 1
```

=====

2.
Tl2AsPt after structural relaxation. Source: Alexandria via LeMat-Bulk, functional PBE.

Energy above the most stable polymorph in this dataset: 0.62 eV per formula unit
Size of the total moment: 0.00 μB/cell
E: -3.88 eV/atom
Energy of formation: -28 meV per atom

```
data_Tl2AsPt
_chemical_formula_sum 'Tl4 As2 Pt2'
_symmetry_space_group_name_H-M 'I m m 2'
_symmetry_Int_Tables_number 44
_symmetry_space_group_name_Hall 'I 2 -2'
_cell_length_a 3.461
_cell_length_b 4.565
_cell_length_c 12.955
_cell_angle_alpha 90.00
_cell_angle_beta 90.00
_cell_angle_gamma 90.00
loop_
_atom_site_label
_atom_site_type_symbol
_atom_site_fract_x
_atom_site_fract_y
_atom_site_fract_z
_atom_site_occupancy
Tl1 Tl 0.000 0.000 0.000 1
Tl2 Tl 0.000 0.500 0.195 1
As1 As 0.000 0.500 0.798 1
Pt1 Pt 0.000 0.000 0.431 1
```

=====

3.
LiCaTa after structural relaxation. Source: Alexandria via LeMat-Bulk, functional PBE.

Energy above the most stable polymorph in this dataset: 0.17 eV per formula unit
Size of the total moment: 0.00 μB/cell
E: -4.96 eV/atom
Energy of formation: 300 meV per atom

```
data_LiCaTa
_chemical_formula_sum 'Li2 Ca2 Ta2'
_symmetry_space_group_name_H-M 'P 4 m m'
_symmetry_Int_Tables_number 99
_symmetry_space_group_name_Hall 'P 4 -2'
_cell_length_a 3.546
_cell_length_b 3.546
_cell_length_c 11.991
_cell_angle_alpha 90.00
_cell_angle_beta 90.00
_cell_angle_gamma 90.00
loop_
_atom_site_label
_atom_site_type_symbol
_atom_site_fract_x
_atom_site_fract_y
_atom_site_fract_z
_atom_site_occupancy
Li1 Li 0.000 0.000 0.000 1
Li2 Li 0.000 0.000 0.385 1
Ca1 Ca 0.500 0.500 0.187 1
Ca2 Ca 0.500 0.500 0.584 1
Ta1 Ta 0.000 0.000 0.767 1
Ta2 Ta 0.500 0.500 0.859 1
```

=====

4.
La3Al2Ge3 after structural relaxation. Source: Alexandria via LeMat-Bulk, functional PBE.

Energy above the most stable polymorph in this dataset: 0.16 eV per formula unit
Size of the total moment: 0.00 μB/cell
E: -5.18 eV/atom
Energy of formation: -665 meV per atom

```
data_La3Al2Ge3
_chemical_formula_sum 'La12 Al8 Ge12'
_symmetry_space_group_name_H-M 'C m c m'
_symmetry_Int_Tables_number 63
_symmetry_space_group_name_Hall '-C 2c 2'
_cell_length_a 4.326
_cell_length_b 11.563
_cell_length_c 15.936
_cell_angle_alpha 90.00
_cell_angle_beta 90.00
_cell_angle_gamma 90.00
loop_
_atom_site_label
_atom_site_type_symbol
_atom_site_fract_x
_atom_site_fract_y
_atom_site_fract_z
_atom_site_occupancy
La1 La 0.000 0.051 0.250 1
La2 La 0.000 0.353 0.093 1
Al1 Al 0.000 0.359 0.623 1
Ge1 Ge 0.000 0.080 0.053 1
Ge2 Ge 0.000 0.221 0.750 1
```

=====

5.
W3Br2 after structural relaxation. Source: Alexandria via LeMat-Bulk, functional PBE.

Size of the total moment: 0.00 μB/cell
E: -6.66 eV/atom
Uncorrected formation energy: 1.79 eV per atom

```
data_W3Br2
_chemical_formula_sum 'W3 Br2'
_symmetry_space_group_name_H-M 'P -3 m 1'
_symmetry_Int_Tables_number 164
_symmetry_space_group_name_Hall '-P 3 2"'
_cell_length_a 4.1929
_cell_length_b 4.1929
_cell_length_c 6.2831
_cell_angle_alpha 90.00
_cell_angle_beta 90.00
_cell_angle_gamma 120.00
loop_
_atom_site_label
_atom_site_type_symbol
_atom_site_fract_x
_atom_site_fract_y
_atom_site_fract_z
_atom_site_occupancy
W1 W 0.0000 0.0000 0.0000 1
W2 W 0.3333 0.6667 0.4196 1
Br1 Br 0.3333 0.6667 0.8434 1
```

=====

6.
Eu2PbN after structural relaxation. Source: Alexandria via LeMat-Bulk, functional PBE.

Size of the total moment: 39.07 μB/cell
E: -8.07 eV/atom
Uncorrected formation energy: 0.08 eV per atom

```
data_Eu2PbN
_chemical_formula_sum 'Eu6 Pb3 N3'
_symmetry_space_group_name_H-M 'R -3 m'
_symmetry_Int_Tables_number 166
_symmetry_space_group_name_Hall '-R 3 2"'
_cell_length_a 4.3430
_cell_length_b 4.3430
_cell_length_c 26.2168
_cell_angle_alpha 90.00
_cell_angle_beta 90.00
_cell_angle_gamma 120.00
loop_
_atom_site_label
_atom_site_type_symbol
_atom_site_fract_x
_atom_site_fract_y
_atom_site_fract_z
_atom_site_occupancy
Eu1 Eu 0.0000 0.0000 0.0782 1
Pb1 Pb 0.0000 0.0000 0.5000 1
N1 N 0.0000 0.0000 0.0000 1
```

=====

- Look up the E of the second one.
  -3.88 eV/atom

=====

- Look up the E of the fourth one.
  -5.18 eV/atom